(1)
SrIr2Se, optimized geometry, DFT PBE; symmetry = Pmm2 (25); uncorrected formation energy = 0.0 eV/f.u.; DFT total energy = -22.87 eV/f.u.
1.0
2.897 0.000 0.000
0.000 3.940 0.000
0.000 0.000 7.670
Sr Ir Se
1 2 1
direct
0.000 0.000 0.000 Sr
0.000 0.000 0.413 Ir
0.500 0.500 0.310 Ir
0.500 0.500 0.760 Se

(2)
LaSm6, optimized geometry, DFT PBE; symmetry = Im-3m (229); ΔE_f = 1160 meV/atom; ΔE to the lowest computed polymorph = 927 meV/atom; DFT total energy = -25.12 eV/f.u.
1.0
8.165 0.000 0.000
0.000 8.165 0.000
0.000 0.000 8.165
La Sm
2 12
direct
0.000 0.000 0.000 La
0.500 0.500 0.500 La
0.000 0.250 0.500 Sm
0.000 0.500 0.250 Sm
0.000 0.500 0.750 Sm
0.000 0.750 0.500 Sm
0.250 0.000 0.500 Sm
0.250 0.500 0.000 Sm
0.500 0.000 0.250 Sm
0.500 0.000 0.750 Sm
0.500 0.250 0.000 Sm
0.500 0.750 0.000 Sm
0.750 0.000 0.500 Sm
0.750 0.500 0.000 Sm

(3)
TcHgMo2, optimized geometry, DFT PBE; symmetry = Cmm2 (35); ΔE_f = 363 meV/atom; DFT total energy = -30.88 eV/f.u.
1.0
3.203 0.000 0.000
0.000 4.560 0.000
0.000 0.000 9.248
Tc Hg Mo
2 2 4
direct
0.000 0.000 0.000 Tc
0.500 0.500 0.000 Tc
0.000 0.500 0.270 Hg
0.500 0.000 0.270 Hg
0.000 0.000 0.543 Mo
0.000 0.500 0.775 Mo
0.500 0.000 0.775 Mo
0.500 0.500 0.543 Mo

(4)
KAc4Te5, optimized geometry, DFT PBE; symmetry = R-3m (166); uncorrected formation energy = -14.9 eV/f.u.; ΔE to the lowest computed polymorph = 0 meV/atom; DFT total energy = -48.14 eV/f.u.
1.0
2.386 1.378 19.850
-2.386 1.378 19.850
0.000 -2.756 19.850
K Ac Te
1 4 5
direct
0.000 0.000 0.000 K
0.199 0.199 0.199 Ac
0.403 0.403 0.403 Ac
0.597 0.597 0.597 Ac
0.801 0.801 0.801 Ac
0.102 0.102 0.102 Te
0.295 0.295 0.295 Te
0.500 0.500 0.500 Te
0.705 0.705 0.705 Te
0.898 0.898 0.898 Te

(5)
TbMgGa, optimized geometry, DFT PBE; symmetry = P-6m2 (187); ΔE_f = -382 meV/atom; DFT total energy = -10.40 eV/f.u.
1.0
4.699 0.000 0.000
-2.350 4.070 0.000
0.000 0.000 3.613
Tb Mg Ga
1 1 1
direct
0.000 0.000 0.000 Tb
0.333 0.667 0.500 Mg
0.667 0.333 0.500 Ga

(6)
LiPmPrSi, optimized geometry, DFT PBE; symmetry = F-43m (216); uncorrected formation energy = -1.4 eV/f.u.; DFT total energy = -18.23 eV/f.u.
1.0
7.294 0.000 0.000
0.000 7.294 0.000
0.000 0.000 7.294
Li Pm Pr Si
4 4 4 4
direct
0.000 0.000 0.000 Li
0.000 0.500 0.500 Li
0.500 0.000 0.500 Li
0.500 0.500 0.000 Li
0.250 0.250 0.750 Pm
0.250 0.750 0.250 Pm
0.750 0.250 0.250 Pm
0.750 0.750 0.750 Pm
0.250 0.250 0.250 Pr
0.250 0.750 0.750 Pr
0.750 0.250 0.750 Pr
0.750 0.750 0.250 Pr
0.000 0.000 0.500 Si
0.000 0.500 0.000 Si
0.500 0.000 0.000 Si
0.500 0.500 0.500 Si

(7)
MgGa4Bi, optimized geometry, DFT PBE; symmetry = F-43m (216); ΔE_f = 45 meV/atom; DFT total energy = -17.31 eV/f.u.
1.0
0.000 4.038 4.038
4.038 0.000 4.038
4.038 4.038 0.000
Mg Ga Bi
1 4 1
direct
0.000 0.000 0.000 Mg
0.124 0.625 0.625 Ga
0.625 0.124 0.625 Ga
0.625 0.625 0.124 Ga
0.625 0.625 0.625 Ga
0.250 0.250 0.250 Bi

(8)
Ac4Ga2O, optimized geometry, DFT PBE; symmetry = I4/mmm (139); uncorrected formation energy = -6.8 eV/f.u.; ΔE to the lowest computed polymorph = 35 meV/atom; DFT total energy = -34.28 eV/f.u.
1.0
5.061 0.000 0.000
0.000 5.061 0.000
0.000 0.000 17.316
Ac Ga O
8 4 2
direct
0.000 0.000 0.183 Ac
0.000 0.000 0.817 Ac
0.000 0.500 0.000 Ac
0.000 0.500 0.500 Ac
0.500 0.000 0.000 Ac
0.500 0.000 0.500 Ac
0.500 0.500 0.317 Ac
0.500 0.500 0.683 Ac
0.000 0.000 0.367 Ga
0.000 0.000 0.633 Ga
0.500 0.500 0.133 Ga
0.500 0.500 0.867 Ga
0.000 0.000 0.000 O
0.500 0.500 0.500 O

(9)
ReAgSb2, optimized geometry, DFT PBE; symmetry = Pmm2 (25); uncorrected formation energy = 2.3 eV/f.u.; ΔE to the lowest computed polymorph = 247 meV/atom; DFT total energy = -21.27 eV/f.u.
1.0
3.375 0.000 0.000
0.000 4.280 0.000
0.000 0.000 5.624
Re Ag Sb
1 1 2
direct
0.000 0.000 0.000 Re
0.500 0.500 0.664 Ag
0.000 0.000 0.504 Sb
0.500 0.500 0.143 Sb

(10)
CaBe2CuRe, optimized geometry, DFT PBE; symmetry = P4/mmm (123); ΔE_f = 826 meV/atom; DFT total energy = -21.87 eV/f.u.
1.0
4.189 0.000 0.000
0.000 4.189 0.000
0.000 0.000 4.723
Ca Be Cu Re
1 2 1 1
direct
0.000 0.000 0.000 Ca
0.000 0.500 0.500 Be
0.500 0.000 0.500 Be
0.500 0.500 0.500 Cu
0.500 0.500 0.000 Re

(11)
Na8B11C5, optimized geometry, DFT PBE; symmetry = Pm (6); ΔE_f = 106 meV/atom; ΔE to the lowest computed polymorph = 4 meV/atom; DFT total energy = -127.59 eV/f.u.
1.0
9.992 0.000 0.000
0.000 2.816 0.000
-4.736 0.000 8.815
Na B C
8 11 5
direct
0.000 0.000 0.000 Na
0.001 0.500 0.502 Na
0.248 0.000 0.749 Na
0.251 0.500 0.255 Na
0.501 0.500 0.000 Na
0.503 0.000 0.502 Na
0.752 0.000 0.252 Na
0.752 0.500 0.748 Na
0.029 0.500 0.778 B
0.055 0.000 0.307 B
0.202 0.500 0.950 B
0.226 0.000 0.476 B
0.315 0.000 0.065 B
0.459 0.500 0.707 B
0.549 0.500 0.301 B
0.688 0.000 0.937 B
0.788 0.000 0.539 B
0.791 0.500 0.041 B
0.953 0.500 0.205 B
0.303 0.500 0.551 C
0.467 0.000 0.219 C
0.537 0.000 0.785 C
0.707 0.500 0.459 C
0.949 0.000 0.698 C

(12)
KZr2Pb, optimized geometry, DFT PBE; symmetry = I-4m2 (119); ΔE_f = 583 meV/atom; ΔE to the lowest computed polymorph = 480 meV/atom; DFT total energy = -19.57 eV/f.u.
1.0
4.638 0.000 0.000
0.000 4.638 0.000
0.000 0.000 9.696
K Zr Pb
2 4 2
direct
0.000 0.000 0.000 K
0.500 0.500 0.500 K
0.000 0.000 0.500 Zr
0.000 0.500 0.250 Zr
0.500 0.000 0.750 Zr
0.500 0.500 0.000 Zr
0.000 0.500 0.750 Pb
0.500 0.000 0.250 Pb

(13)
RbBF4, optimized geometry, DFT PBE; symmetry = Pnma (62); uncorrected formation energy = -18.2 eV/f.u.; DFT total energy = -33.29 eV/f.u.
1.0
9.243 0.000 0.000
0.000 5.675 0.000
0.000 0.000 7.412
Rb B F
4 4 16
direct
0.188 0.250 0.159 Rb
0.312 0.750 0.659 Rb
0.688 0.250 0.341 Rb
0.812 0.750 0.841 Rb
0.056 0.250 0.696 B
0.444 0.750 0.196 B
0.556 0.250 0.804 B
0.944 0.750 0.304 B
0.076 0.046 0.805 F
0.076 0.454 0.805 F
0.085 0.750 0.375 F
0.160 0.250 0.556 F
0.340 0.750 0.056 F
0.415 0.250 0.875 F
0.424 0.546 0.305 F
0.424 0.954 0.305 F
0.576 0.046 0.695 F
0.576 0.454 0.695 F
0.585 0.750 0.125 F
0.660 0.250 0.944 F
0.840 0.750 0.444 F
0.915 0.250 0.625 F
0.924 0.546 0.195 F
0.924 0.954 0.195 F

(14)
Nb2IrC, optimized geometry, DFT PBE; symmetry = R-3m (166); ΔE_f = -418 meV/atom; DFT total energy = -39.90 eV/f.u.
1.0
3.076 0.000 0.000
-1.538 2.664 0.000
0.000 0.000 20.884
Nb Ir C
6 3 3
direct
0.000 0.000 0.227 Nb
0.000 0.000 0.773 Nb
0.333 0.667 0.440 Nb
0.333 0.667 0.893 Nb
0.667 0.333 0.107 Nb
0.667 0.333 0.560 Nb
0.000 0.000 0.000 Ir
0.333 0.667 0.667 Ir
0.667 0.333 0.333 Ir
0.000 0.000 0.500 C
0.333 0.667 0.167 C
0.667 0.333 0.833 C

(15)
TaAgIrSe, optimized geometry, DFT PBE; symmetry = P1 (1); uncorrected formation energy = -0.5 eV/f.u.; ΔE to the lowest computed polymorph = 69 meV/atom; DFT total energy = -27.56 eV/f.u.
1.0
3.216 0.000 0.000
1.600 3.161 0.000
0.022 0.279 8.147
Ta Ag Ir Se
1 1 1 1
direct
0.000 0.000 0.000 Ta
0.365 0.270 0.551 Ag
0.690 0.620 0.809 Ir
0.339 0.319 0.222 Se

(16)
CsSrTl2, optimized geometry, DFT PBE; symmetry = P4/mmm (123); ΔE_f = -199 meV/atom; ΔE to the lowest computed polymorph = 0 meV/atom; DFT total energy = -8.06 eV/f.u.
1.0
4.239 0.000 0.000
0.000 4.239 0.000
0.000 0.000 9.225
Cs Sr Tl
1 1 2
direct
0.000 0.000 0.000 Cs
0.000 0.000 0.500 Sr
0.500 0.500 0.303 Tl
0.500 0.500 0.697 Tl

(17)
SrPr4Ag4, optimized geometry, DFT PBE; symmetry = P4_2/n (86); ΔE_f = -70 meV/atom; DFT total energy = -32.84 eV/f.u.
1.0
10.103 0.000 0.000
0.000 10.103 0.000
0.000 0.000 6.015
Sr Pr Ag
2 8 8
direct
0.250 0.250 0.250 Sr
0.750 0.750 0.750 Sr
0.101 0.654 0.151 Pr
0.154 0.899 0.651 Pr
0.346 0.601 0.651 Pr
0.399 0.846 0.151 Pr
0.601 0.154 0.849 Pr
0.654 0.399 0.349 Pr
0.846 0.101 0.349 Pr
0.899 0.346 0.849 Pr
0.034 0.602 0.649 Ag
0.102 0.966 0.149 Ag
0.398 0.534 0.149 Ag
0.466 0.898 0.649 Ag
0.534 0.102 0.351 Ag
0.602 0.466 0.851 Ag
0.898 0.034 0.851 Ag
0.966 0.398 0.351 Ag

(18)
MnAg6Se4, optimized geometry, DFT PBE; symmetry = I-42m (121); uncorrected formation energy = -1.1 eV/f.u.; DFT total energy = -41.27 eV/f.u.
1.0
-3.097 3.097 6.111
3.097 -3.097 6.111
3.097 3.097 -6.111
Mn Ag Se
1 6 4
direct
0.000 0.000 0.000 Mn
0.000 0.500 0.500 Ag
0.183 0.521 0.000 Ag
0.479 0.479 0.662 Ag
0.500 0.000 0.500 Ag
0.521 0.183 0.000 Ag
0.817 0.817 0.338 Ag
0.095 0.095 0.457 Se
0.363 0.905 0.000 Se
0.637 0.637 0.543 Se
0.905 0.363 0.000 Se

(19)
Pa6AsSe12, optimized geometry, DFT PBE; symmetry = R-3 (148); uncorrected formation energy = -21.2 eV/f.u.; ΔE to the lowest computed polymorph = 6 meV/atom; DFT total energy = -124.62 eV/f.u.
1.0
6.344 3.663 3.759
-6.344 3.663 3.759
0.000 -7.326 3.759
Pa As Se
6 1 12
direct
0.128 0.631 0.806 Pa
0.194 0.872 0.369 Pa
0.369 0.194 0.872 Pa
0.631 0.806 0.128 Pa
0.806 0.128 0.631 Pa
0.872 0.369 0.194 Pa
0.500 0.500 0.500 As
0.065 0.922 0.677 Se
0.078 0.323 0.935 Se
0.182 0.544 0.443 Se
0.323 0.935 0.078 Se
0.443 0.182 0.544 Se
0.456 0.557 0.818 Se
0.544 0.443 0.182 Se
0.557 0.818 0.456 Se
0.677 0.065 0.922 Se
0.818 0.456 0.557 Se
0.922 0.677 0.065 Se
0.935 0.078 0.323 Se

(20)
NpTlSe2, optimized geometry, DFT PBE; symmetry = P4/mmm (123); uncorrected formation energy = -3.2 eV/f.u.; DFT total energy = -25.52 eV/f.u.
1.0
3.619 0.000 0.000
0.000 3.619 0.000
0.000 0.000 7.841
Np Tl Se
1 1 2
direct
0.000 0.000 0.000 Np
0.000 0.000 0.500 Tl
0.500 0.500 0.207 Se
0.500 0.500 0.793 Se